Version one
Crystalline Hf2SnBi2 at its relaxed geometry. Source: the Alexandria database, functional PBE-GGA.

Geometry as POSCAR:
```
Hf2SnBi2
1.0
-3.579 3.579 5.557
3.579 -3.579 5.557
3.579 3.579 -5.557
Hf Sn Bi
4 2 4
direct
0.297 0.000 0.297
0.703 0.000 0.703
0.750 0.547 0.797
0.750 0.953 0.203
0.274 0.774 0.500
0.524 0.524 0.000
0.029 0.311 0.282
0.029 0.746 0.718
0.061 0.279 0.782
0.496 0.279 0.218
```

Properties
The value obtained for the volume is 142 Å³/f.u.

Version two
Crystalline Hf2SnBi2 at its relaxed geometry. Source: the Alexandria database, functional PBE-GGA.

Geometry as POSCAR:
```
Hf2SnBi2
1.0
8.461 0.000 0.000
0.000 8.461 0.000
0.000 0.000 3.724
Hf Sn Bi
4 2 4
direct
0.132 0.368 0.000
0.368 0.868 0.000
0.632 0.132 0.000
0.868 0.632 0.000
0.000 0.000 0.500
0.500 0.500 0.500
0.157 0.657 0.500
0.343 0.157 0.500
0.657 0.843 0.500
0.843 0.343 0.500
```

Properties
The value obtained for the volume is 133 Å³/f.u.

Last place for stability: version one

Version one
Crystalline Hf2Sn2Bi at its relaxed geometry. Source: the Alexandria database, functional PBE-GGA.

Geometry as POSCAR:
```
Hf2Sn2Bi
1.0
7.728 0.000 0.000
0.000 7.728 0.000
0.000 0.000 4.111
Hf Sn Bi
4 4 2
direct
0.144 0.356 0.000
0.356 0.856 0.000
0.644 0.144 0.000
0.856 0.644 0.000
0.154 0.654 0.500
0.346 0.154 0.500
0.654 0.846 0.500
0.846 0.346 0.500
0.000 0.000 0.000
0.500 0.500 0.000
```

Properties
The value obtained for the volume is 123 Å³/f.u.

Version two
Crystalline Hf2Sn2Bi at its relaxed geometry. Source: the Alexandria database, functional PBE-GGA.

Geometry as POSCAR:
```
Hf2Sn2Bi
1.0
-2.405 2.405 5.963
2.405 -2.405 5.963
2.405 2.405 -5.963
Hf Sn Bi
2 2 1
direct
0.250 0.750 0.500
0.750 0.250 0.500
0.116 0.116 0.000
0.884 0.884 0.000
0.500 0.500 0.000
```

Properties
The value obtained for the volume is 138 Å³/f.u.

Last place for stability: version two

Version one
Crystalline Hf2SnBi at its relaxed geometry. Source: the Alexandria database, functional PBE-GGA.

Geometry as POSCAR:
```
Hf2SnBi
1.0
-3.283 3.283 6.641
3.283 -3.283 6.641
3.283 3.283 -6.641
Hf Sn Bi
4 2 2
direct
0.112 0.625 0.987
0.375 0.362 0.487
0.638 0.125 0.013
0.875 0.888 0.513
0.000 0.000 0.000
0.750 0.250 0.500
0.250 0.750 0.500
0.500 0.500 0.000
```

Properties
The value obtained for the volume is 143 Å³/f.u.

Version two
Crystalline Hf2SnBi at its relaxed geometry. Source: the Alexandria database, functional PBE-GGA.

Geometry as POSCAR:
```
Hf2SnBi
1.0
2.054 1.186 7.026
-2.054 1.186 7.026
0.000 -2.372 7.026
Hf Sn Bi
2 1 1
direct
0.000 0.000 0.000
0.179 0.179 0.179
0.592 0.592 0.592
0.422 0.422 0.422
```

Properties
The value obtained for the volume is 103 Å³/f.u.

Version three
Crystalline Hf2SnBi at its relaxed geometry. Source: the Alexandria database, functional PBE-GGA.

Geometry as POSCAR:
```
Hf2SnBi
1.0
2.076 1.198 6.859
-2.076 1.198 6.859
0.000 -2.397 6.859
Hf Sn Bi
2 1 1
direct
0.244 0.244 0.244
0.756 0.756 0.756
0.500 0.500 0.500
0.000 0.000 0.000
```

Properties
The value obtained for the volume is 102 Å³/f.u.

Version four
Crystalline Hf2SnBi at its relaxed geometry. Source: the Alexandria database, functional PBE-GGA.

Geometry as POSCAR:
```
Hf2SnBi
1.0
0.000 3.597 3.597
3.597 0.000 3.597
3.597 3.597 0.000
Hf Sn Bi
2 1 1
direct
0.250 0.250 0.250
0.750 0.750 0.750
0.000 0.000 0.000
0.500 0.500 0.500
```

Properties
The value obtained for the volume is 93 Å³/f.u.

Last place for stability: version one

Version one
Crystalline Hf2SnBi at its relaxed geometry. Source: the Alexandria database, functional PBE-GGA.

Geometry as POSCAR:
```
Hf2SnBi
1.0
3.928 0.000 0.000
0.000 3.947 0.000
0.000 0.000 6.141
Hf Sn Bi
2 1 1
direct
0.000 0.000 0.000
0.500 0.500 0.268
0.000 0.000 0.473
0.500 0.500 0.780
```

Properties
The value obtained for the volume is 95 Å³/f.u.

Version two
Crystalline Hf2SnBi at its relaxed geometry. Source: the Alexandria database, functional PBE-GGA.

Geometry as POSCAR:
```
Hf2SnBi
1.0
4.778 0.000 0.000
0.000 4.778 0.000
0.000 0.000 4.073
Hf Sn Bi
2 1 1
direct
0.000 0.500 0.000
0.500 0.000 0.000
0.000 0.000 0.500
0.500 0.500 0.500
```

Properties
The value obtained for the volume is 93 Å³/f.u.

Last place for stability: version two

Version one
Crystalline SrHfBi2 at its relaxed geometry. Source: the Alexandria database, functional PBE-GGA.

Geometry as POSCAR:
```
SrHfBi2
1.0
3.725 0.000 0.000
0.000 3.725 0.000
0.000 0.000 8.422
Sr Hf Bi
1 1 2
direct
0.000 0.000 0.000
0.000 0.000 0.500
0.500 0.500 0.287
0.500 0.500 0.713
```

Properties
The value obtained for the volume is 117 Å³/f.u.

Version two
Crystalline SrHfBi2 at its relaxed geometry. Source: the Alexandria database, functional PBE-GGA.

Geometry as POSCAR:
```
SrHfBi2
1.0
0.000 3.881 3.881
3.881 0.000 3.881
3.881 3.881 0.000
Sr Hf Bi
1 1 2
direct
0.000 0.000 0.000
0.500 0.500 0.500
0.250 0.250 0.250
0.750 0.750 0.750
```

Properties
The value obtained for the volume is 117 Å³/f.u.

Last place for stability: version two

Version one
Crystalline SrHfBi2 at its relaxed geometry. Source: the Alexandria database, functional PBE-GGA.

Geometry as POSCAR:
```
SrHfBi2
1.0
2.193 1.266 7.754
-2.193 1.266 7.754
0.000 -2.532 7.754
Sr Hf Bi
1 1 2
direct
0.000 0.000 0.000
0.500 0.500 0.500
0.238 0.238 0.238
0.762 0.762 0.762
```

Properties
The value obtained for the volume is 129 Å³/f.u.

Version two
Crystalline SrHfBi2 at its relaxed geometry. Source: the Alexandria database, functional PBE-GGA.

Geometry as POSCAR:
```
SrHfBi2
1.0
-4.214 4.214 3.738
4.214 -4.214 3.738
4.214 4.214 -3.738
Sr Hf Bi
2 2 4
direct
0.000 0.000 0.000
0.750 0.250 0.500
0.250 0.750 0.500
0.500 0.500 0.000
0.160 0.625 0.035
0.375 0.410 0.535
0.590 0.125 0.965
0.875 0.840 0.465
```

Properties
The value obtained for the volume is 133 Å³/f.u.

Last place for stability: version two

Version one
Crystalline SrHf3Bi at its relaxed geometry. Source: the Alexandria database, functional PBE-GGA.

Geometry as POSCAR:
```
SrHf3Bi
1.0
5.499 0.000 0.000
0.000 5.499 0.000
0.000 0.000 5.499
Sr Hf Bi
1 3 1
direct
0.000 0.000 0.000
0.000 0.500 0.500
0.500 0.000 0.500
0.500 0.500 0.000
0.500 0.500 0.500
```

Properties
The value obtained for the volume is 166 Å³/f.u.

Version two
Crystalline SrHf3Bi at its relaxed geometry. Source: the Alexandria database, functional PBE-GGA.

Geometry as POSCAR:
```
SrHf3Bi
1.0
5.237 0.000 0.000
0.000 5.237 0.000
0.000 0.000 5.237
Sr Hf Bi
1 3 1
direct
0.000 0.000 0.000
0.000 0.000 0.500
0.000 0.500 0.000
0.500 0.000 0.000
0.500 0.500 0.500
```

Properties
The value obtained for the volume is 144 Å³/f.u.

Last place for stability: version two

Version one
Crystalline Hf3TcBi at its relaxed geometry. Source: the Alexandria database, functional PBE-GGA.

Geometry as POSCAR:
```
Hf3TcBi
1.0
5.262 0.000 0.000
0.000 5.262 0.000
0.000 0.000 5.262
Hf Tc Bi
3 1 1
direct
0.000 0.000 0.500
0.000 0.500 0.000
0.500 0.000 0.000
0.500 0.500 0.500
0.000 0.000 0.000
```

Properties
The value obtained for the volume is 146 Å³/f.u.

Version two
Crystalline Hf3TcBi at its relaxed geometry. Source: the Alexandria database, functional PBE-GGA.

Geometry as POSCAR:
```
Hf3TcBi
1.0
5.019 0.000 0.000
0.000 5.019 0.000
0.000 0.000 5.019
Hf Tc Bi
3 1 1
direct
0.000 0.000 0.500
0.000 0.500 0.000
0.500 0.000 0.000
0.000 0.000 0.000
0.500 0.500 0.500
```

Properties
The value obtained for the volume is 126 Å³/f.u.

Last place for stability: version one

Version one
Crystalline HfTcBi2 at its relaxed geometry. Source: the Alexandria database, functional PBE-GGA.

Geometry as POSCAR:
```
HfTcBi2
1.0
-2.189 2.189 10.202
2.189 -2.189 10.202
2.189 2.189 -10.202
Hf Tc Bi
2 2 4
direct
0.000 0.000 0.000
0.750 0.250 0.500
0.250 0.750 0.500
0.500 0.500 0.000
0.134 0.625 0.009
0.375 0.384 0.509
0.616 0.125 0.991
0.875 0.866 0.491
```

Properties
The value obtained for the volume is 98 Å³/f.u.

Version two
Crystalline HfTcBi2 at its relaxed geometry. Source: the Alexandria database, functional PBE-GGA.

Geometry as POSCAR:
```
HfTcBi2
1.0
0.000 3.530 3.530
3.530 0.000 3.530
3.530 3.530 0.000
Hf Tc Bi
1 1 2
direct
0.000 0.000 0.000
0.500 0.500 0.500
0.250 0.250 0.250
0.750 0.750 0.750
```

Properties
The value obtained for the volume is 88 Å³/f.u.

Last place for stability: version one

Version one
Crystalline Hf2BiTe at its relaxed geometry. Source: the Alexandria database, functional PBE-GGA.

Geometry as POSCAR:
```
Hf2BiTe
1.0
0.000 3.587 3.587
3.587 0.000 3.587
3.587 3.587 0.000
Hf Bi Te
2 1 1
direct
0.250 0.250 0.250
0.750 0.750 0.750
0.000 0.000 0.000
0.500 0.500 0.500
```

Properties
The value obtained for the volume is 92 Å³/f.u.

Version two
Crystalline Hf2BiTe at its relaxed geometry. Source: the Alexandria database, functional PBE-GGA.

Geometry as POSCAR:
```
Hf2BiTe
1.0
7.708 0.000 0.000
0.000 7.171 0.000
-0.013 0.000 7.242
Hf Bi Te
8 4 4
direct
0.115 0.183 0.493
0.115 0.317 0.993
0.360 0.683 0.005
0.360 0.817 0.505
0.640 0.183 0.495
0.640 0.317 0.995
0.885 0.683 0.007
0.885 0.817 0.507
0.379 0.079 0.198
0.379 0.421 0.698
0.621 0.579 0.302
0.621 0.921 0.802
0.123 0.572 0.300
0.123 0.928 0.800
0.877 0.072 0.200
0.877 0.428 0.700
```

Properties
The value obtained for the volume is 100 Å³/f.u.

Last place for stability: version one

Version one
Crystalline Hf2BiTe at its relaxed geometry. Source: the Alexandria database, functional PBE-GGA.

Geometry as POSCAR:
```
Hf2BiTe
1.0
1.905 1.100 7.945
-1.905 1.100 7.945
0.000 -2.200 7.945
Hf Bi Te
2 1 1
direct
0.000 0.000 0.000
0.167 0.167 0.167
0.750 0.750 0.750
0.584 0.584 0.584
```

Properties
The value obtained for the volume is 100 Å³/f.u.

Version two
Crystalline Hf2BiTe at its relaxed geometry. Source: the Alexandria database, functional PBE-GGA.

Geometry as POSCAR:
```
Hf2BiTe
1.0
3.547 0.000 0.000
0.000 3.547 0.000
0.000 0.000 7.349
Hf Bi Te
2 1 1
direct
0.000 0.000 0.237
0.000 0.000 0.763
0.500 0.500 0.500
0.500 0.500 0.000
```

Properties
The value obtained for the volume is 92 Å³/f.u.

Last place for stability: version one

Version one
Crystalline Hf2ThBi at its relaxed geometry. Source: the Alexandria database, functional PBE-GGA.

Geometry as POSCAR:
```
Hf2ThBi
1.0
3.815 0.000 0.000
0.000 3.815 0.000
0.000 0.000 6.987
Hf Th Bi
2 1 1
direct
0.000 0.000 0.233
0.000 0.000 0.767
0.500 0.500 0.500
0.500 0.500 0.000
```

Properties
The value obtained for the volume is 102 Å³/f.u.

Version two
Crystalline Hf2ThBi at its relaxed geometry. Source: the Alexandria database, functional PBE-GGA.

Geometry as POSCAR:
```
Hf2ThBi
1.0
0.000 3.674 3.674
3.674 0.000 3.674
3.674 3.674 0.000
Hf Th Bi
2 1 1
direct
0.250 0.250 0.250
0.750 0.750 0.750
0.000 0.000 0.000
0.500 0.500 0.500
```

Properties
The value obtained for the volume is 99 Å³/f.u.

Last place for stability: version two